# Nb2FeHgF, relaxed, DFT GGA+U
# total magnetic moment	0.08	μB per formula unit
# E_tot	-4.8104	eV/atom
data_Nb2FeHgF
_symmetry_space_group_name_H-M 'P 4/m m m'
_symmetry_Int_Tables_number 123
_symmetry_space_group_name_Hall '-P 4 2'
_cell_length_a 4.814
_cell_length_b 4.814
_cell_length_c 3.744
_cell_angle_alpha 90.00
_cell_angle_beta 90.00
_cell_angle_gamma 90.00
loop_
_atom_site_label
_atom_site_fract_x
_atom_site_fract_y
_atom_site_fract_z
_atom_site_occupancy
Nb1 0.000 0.500 0.000 1
Fe1 0.000 0.000 0.000 1
Hg1 0.500 0.500 0.500 1
F1 0.000 0.000 0.500 1